First-principles (PBE) data for a geometry-optimized Gd2Ho structure, as listed in Alexandria.

Summary:
DFT formation energy, eV/f.u.: 0.3

Cell and atoms, written as CIF:
```
data_Gd2Ho
_chemical_formula_sum 'Gd2 Ho1'
_cell_length_a 4.1381
_cell_length_b 4.1381
_cell_length_c 6.3663
_cell_angle_alpha 108.97
_cell_angle_beta 108.97
_cell_angle_gamma 90.00
_space_group_name_H-M_alt 'P 1'
_space_group_IT_number 1
_space_group_name_Hall 'P 1'
loop_
_atom_site_label
_atom_site_type_symbol
_atom_site_fract_x
_atom_site_fract_y
_atom_site_fract_z
Gd1 Gd 0.6648 0.6648 0.3296
Gd2 Gd 0.3352 0.3352 0.6704
Ho1 Ho 0.0000 0.0000 0.0000
```



First-principles (PBE) data for a geometry-optimized DyTmBr6 structure, as listed in Alexandria.

Summary:
Formation energy without anion corrections, eV/atom: -1.812

Cell and atoms, written as CIF:
```
data_DyTmBr6
_chemical_formula_sum 'Dy1 Tm1 Br6'
_cell_length_a 7.0228
_cell_length_b 7.0228
_cell_length_c 7.5440
_cell_angle_alpha 62.25
_cell_angle_beta 62.26
_cell_angle_gamma 60.00
_space_group_name_H-M_alt 'P 1'
_space_group_IT_number 1
_space_group_name_Hall 'P 1'
loop_
_atom_site_label
_atom_site_type_symbol
_atom_site_fract_x
_atom_site_fract_y
_atom_site_fract_z
Br1 Br 0.2524 0.9032 0.2516
Br2 Br 0.5927 0.2524 0.2516
Br3 Br 0.4073 0.7476 0.7484
Br4 Br 0.7476 0.0968 0.7484
Br5 Br 0.9033 0.5927 0.2517
Br6 Br 0.0967 0.4073 0.7483
Tm1 Tm 0.5000 0.5000 0.5000
Dy1 Dy 0.0000 0.0000 0.0000
```



First-principles (PBE) data for a geometry-optimized Pa3Re5C2 structure, as listed in Alexandria.

Summary:
DFT formation energy, eV/f.u.: 0.5

Cell and atoms, written as CIF:
```
data_Pa3Re5C2
_chemical_formula_sum 'Pa6 Re10 C4'
_cell_length_a 6.1555
_cell_length_b 8.1431
_cell_length_c 8.1431
_cell_angle_alpha 62.71
_cell_angle_beta 67.79
_cell_angle_gamma 67.79
_space_group_name_H-M_alt 'P 1'
_space_group_IT_number 1
_space_group_name_Hall 'P 1'
loop_
_atom_site_label
_atom_site_type_symbol
_atom_site_fract_x
_atom_site_fract_y
_atom_site_fract_z
C1 C 0.1520 0.8253 0.8707
C2 C 0.6520 0.8707 0.8253
C3 C 0.8480 0.1747 0.1293
C4 C 0.3480 0.1293 0.1747
Pa1 Pa 0.1214 0.1480 0.6092
Pa2 Pa 0.2500 0.0000 0.0000
Pa3 Pa 0.6214 0.6092 0.1480
Pa4 Pa 0.8786 0.8520 0.3908
Pa5 Pa 0.7500 0.0000 0.0000
Pa6 Pa 0.3786 0.3908 0.8520
Re1 Re 0.8690 0.3987 0.8633
Re2 Re 0.6310 0.1367 0.6013
Re3 Re 0.0121 0.7379 0.7379
Re4 Re 0.4879 0.2621 0.2621
Re5 Re 0.1310 0.6013 0.1367
Re6 Re 0.9879 0.2621 0.2621
Re7 Re 0.5121 0.7379 0.7379
Re8 Re 0.2500 0.5000 0.5000
Re9 Re 0.7500 0.5000 0.5000
Re10 Re 0.3690 0.8633 0.3987
```